VASP calculation (PBE) on BaTmPt2O8 after structural relaxation.

Cell: 5.5797 5.5797 6.9952 Å, 90.00 90.00 120.00°
Atoms (fractional coordinates):
Ba1 0.0000 0.0000 0.0000
Tm1 0.0000 0.0000 0.5000
Pt1 0.3333 0.6667 0.4546
Pt2 0.6667 0.3333 0.5454
O1 0.0562 0.3803 0.6395
O2 0.3241 0.9438 0.6395
O3 0.3333 0.6667 0.1653
O4 0.3803 0.3241 0.3605
O5 0.6197 0.6759 0.6395
O6 0.6667 0.3333 0.8347
O7 0.6759 0.0562 0.3605
O8 0.9438 0.6197 0.3605

M_tot = 0.0870 μB/atom
electronic total energy = -69.60 eV/cell
E_form (uncorrected) = -955.0 meV per atom

=====

VASP calculation (PBE) on CrRuAu2 after structural relaxation.

Cell: 2.8691 2.8691 27.2409 Å, 90.00 90.00 120.00°
Atoms (fractional coordinates):
Cr1 0.0000 0.0000 0.0000
Cr2 0.3333 0.6667 0.6667
Cr3 0.6667 0.3333 0.3333
Ru1 0.0000 0.0000 0.5000
Ru2 0.3333 0.6667 0.1667
Ru3 0.6667 0.3333 0.8333
Au1 0.0000 0.0000 0.2519
Au2 0.0000 0.0000 0.7481
Au3 0.3333 0.6667 0.4148
Au4 0.3333 0.6667 0.9185
Au5 0.6667 0.3333 0.0815
Au6 0.6667 0.3333 0.5852

excess energy over the best structure of this formula in the dataset = 0.333 eV/atom
DFT formation energy = 0.4753 eV per atom
M_tot = 0.9970 μB/atom
electronic total energy = -70.66 eV/cell

=====

VASP calculation (PBE) on BeHCl after structural relaxation.

Cell: 8.7801 6.0190 4.3114 Å, 90.00 90.00 90.00°
Atoms (fractional coordinates):
Be1 0.1840 0.2500 0.0000
Be2 0.1840 0.2500 0.5000
Be3 0.8160 0.7500 0.0000
Be4 0.8160 0.7500 0.5000
H1 0.0927 0.1529 0.2500
H2 0.0927 0.3471 0.7500
H3 0.9073 0.6529 0.2500
H4 0.9073 0.8471 0.7500
Cl1 0.3044 0.0285 0.7500
Cl2 0.3044 0.4715 0.2500
Cl3 0.6956 0.5285 0.7500
Cl4 0.6956 0.9715 0.2500

excess energy over the best structure of this formula in the dataset = 0.012 eV/atom
M_tot = 0.0000 μB/atom
electronic total energy = -44.55 eV/cell

=====

VASP calculation (PBE) on Ca2AgSnN after structural relaxation.

Cell: 4.8246 4.8246 4.6010 Å, 90.00 90.00 90.00°
Atoms (fractional coordinates):
Ca1 0.0000 0.5000 0.0000
Ca2 0.5000 0.0000 0.0000
Ag1 0.0000 0.0000 0.5000
Sn1 0.5000 0.5000 0.5000
N1 0.0000 0.0000 0.0000

M_tot = 0.0000 μB/atom
electronic total energy = -21.12 eV/cell
E_form (uncorrected) = -387.6 meV per atom

=====

VASP calculation (PBE) on Ac2Cu5Ge3 after structural relaxation.

Cell: 4.5218 4.5218 9.6558 Å, 90.00 90.00 90.00°
Atoms (fractional coordinates):
Ac1 0.0000 0.5000 0.2377
Ac2 0.5000 0.0000 0.7623
Cu1 0.0000 0.0000 0.0000
Cu2 0.0000 0.0000 0.5000
Cu3 0.0000 0.5000 0.8930
Cu4 0.5000 0.0000 0.1070
Cu5 0.5000 0.5000 0.0000
Ge1 0.0000 0.5000 0.6404
Ge2 0.5000 0.0000 0.3596
Ge3 0.5000 0.5000 0.5000

excess energy over the best structure of this formula in the dataset = 0.136 eV/atom
DFT formation energy = -0.2626 eV per atom
M_tot = 0.0000 μB/atom
electronic total energy = -45.18 eV/cell

=====

VASP calculation (PBE) on Ac8Bi4Sb3Te after structural relaxation.

Cell: 9.6627 9.6627 9.6627 Å, 60.02 60.02 60.02°
Atoms (fractional coordinates):
Ac1 0.2452 0.7514 0.7514
Ac2 0.2484 0.2484 0.2484
Ac3 0.2486 0.2486 0.7548
Ac4 0.2486 0.7548 0.2486
Ac5 0.7514 0.2452 0.7514
Ac6 0.7514 0.7514 0.2452
Ac7 0.7516 0.7516 0.7516
Ac8 0.7548 0.2486 0.2486
Bi1 0.0000 0.0000 0.0000
Bi2 0.0000 0.5000 0.5000
Bi3 0.5000 0.0000 0.5000
Bi4 0.5000 0.5000 0.0000
Sb1 0.0000 0.0000 0.5000
Sb2 0.0000 0.5000 0.0000
Sb3 0.5000 0.0000 0.0000
Te1 0.5000 0.5000 0.5000

M_tot = 0.0000 μB/atom
electronic total energy = -82.58 eV/cell
E_form (uncorrected) = -1167.5 meV per atom

=====

VASP calculation (PBE) on LiEuSb after structural relaxation.

Cell: 7.2866 7.2866 7.2866 Å, 90.00 90.00 90.00°
Atoms (fractional coordinates):
Li1 0.0000 0.0000 0.0000
Li2 0.0000 0.5000 0.5000
Li3 0.5000 0.0000 0.5000
Li4 0.5000 0.5000 0.0000
Eu1 0.0000 0.0000 0.5000
Eu2 0.0000 0.5000 0.0000
Eu3 0.5000 0.0000 0.0000
Eu4 0.5000 0.5000 0.5000
Sb1 0.2500 0.2500 0.7500
Sb2 0.2500 0.7500 0.2500
Sb3 0.7500 0.2500 0.2500
Sb4 0.7500 0.7500 0.7500

M_tot = 2.3334 μB/atom
electronic total energy = -74.62 eV/cell
E_form (uncorrected) = -781.7 meV per atom

=====

VASP calculation (PBE) on Cs2MgSi2Au7 after structural relaxation.

Cell: 4.6768 4.6768 13.2962 Å, 90.11 90.11 90.00°
Atoms (fractional coordinates):
Cs1 0.0017 0.0017 0.3562
Cs2 0.9983 0.9983 0.6438
Mg1 0.0000 0.0000 0.0000
Si1 0.4985 0.4985 0.7905
Si2 0.5015 0.5015 0.2095
Au1 0.0010 0.5007 0.1342
Au2 0.4985 0.4985 0.6017
Au3 0.4993 0.9990 0.8658
Au4 0.5000 0.5000 0.0000
Au5 0.5007 0.0010 0.1342
Au6 0.5015 0.5015 0.3983
Au7 0.9990 0.4993 0.8658

M_tot = 0.0000 μB/atom
electronic total energy = -40.30 eV/cell
E_form (uncorrected) = -267.6 meV per atom

=====

VASP calculation (PBE) on Ti2BeInSb after structural relaxation.

Cell: 5.1496 5.1496 4.3042 Å, 90.00 90.00 90.00°
Atoms (fractional coordinates):
Ti1 0.0000 0.5000 0.0000
Ti2 0.5000 0.0000 0.0000
Be1 0.0000 0.0000 0.5000
In1 0.0000 0.0000 0.0000
Sb1 0.5000 0.5000 0.5000

M_tot = 0.4069 μB/atom
electronic total energy = -22.20 eV/cell
E_form (uncorrected) = 835.4 meV per atom

=====

VASP calculation (PBE) on Ac3Al4 after structural relaxation.

Cell: 4.4669 4.7654 20.0813 Å, 90.00 90.00 90.00°
Atoms (fractional coordinates):
Ac1 0.0000 0.0000 0.0000
Ac2 0.0000 0.5000 0.3149
Ac3 0.0000 0.5000 0.6851
Ac4 0.5000 0.0000 0.1851
Ac5 0.5000 0.0000 0.8149
Ac6 0.5000 0.5000 0.5000
Al1 0.0000 0.0000 0.4352
Al2 0.0000 0.0000 0.5648
Al3 0.0000 0.5000 0.1357
Al4 0.0000 0.5000 0.8643
Al5 0.5000 0.0000 0.3643
Al6 0.5000 0.0000 0.6357
Al7 0.5000 0.5000 0.0648
Al8 0.5000 0.5000 0.9352

excess energy over the best structure of this formula in the dataset = 0.000 eV/atom
DFT formation energy = -0.3423 eV per atom
M_tot = 0.0000 μB/atom
electronic total energy = -59.38 eV/cell

=====

VASP calculation (PBE) on Hf2PaRu after structural relaxation.

Cell: 6.7894 6.7894 6.7894 Å, 90.00 90.00 90.00°
Atoms (fractional coordinates):
Hf1 0.2500 0.2500 0.2500
Hf2 0.2500 0.2500 0.7500
Hf3 0.2500 0.7500 0.2500
Hf4 0.2500 0.7500 0.7500
Hf5 0.7500 0.2500 0.2500
Hf6 0.7500 0.2500 0.7500
Hf7 0.7500 0.7500 0.2500
Hf8 0.7500 0.7500 0.7500
Pa1 0.0000 0.0000 0.0000
Pa2 0.0000 0.5000 0.5000
Pa3 0.5000 0.0000 0.5000
Pa4 0.5000 0.5000 0.0000
Ru1 0.0000 0.0000 0.5000
Ru2 0.0000 0.5000 0.0000
Ru3 0.5000 0.0000 0.0000
Ru4 0.5000 0.5000 0.5000

DFT formation energy = -0.0313 eV per atom
M_tot = 0.0000 μB/atom
electronic total energy = -155.22 eV/cell

=====

VASP calculation (PBE) on YIn2As after structural relaxation.

Cell: 3.8809 3.8809 24.7770 Å, 90.00 90.00 120.00°
Atoms (fractional coordinates):
Y1 0.0000 0.0000 0.0000
Y2 0.3333 0.6667 0.6667
Y3 0.6667 0.3333 0.3333
In1 0.0000 0.0000 0.2365
In2 0.0000 0.0000 0.7635
In3 0.3333 0.6667 0.4302
In4 0.3333 0.6667 0.9032
In5 0.6667 0.3333 0.0968
In6 0.6667 0.3333 0.5698
As1 0.0000 0.0000 0.5000
As2 0.3333 0.6667 0.1667
As3 0.6667 0.3333 0.8333

DFT formation energy = -0.1136 eV per atom
M_tot = 0.0505 μB/atom
electronic total energy = -51.13 eV/cell

=====

Among the records above, which one has the highest M_tot? LiEuSb